Eu2Si3Ni after structural relaxation. Source: Alexandria via LeMat-Bulk, functional PBE.

The value obtained for the uncorrected formation energy is -3.10 eV/f.u. The space group is P-6m2. As for the calculated volume: 20.54 A^3/atom.

a = 4.0337 Å, b = 4.0337 Å, c = 8.7472 Å
α = 90.00°, β = 90.00°, γ = 120.00°
Closest atoms and distances in Å follow each position.
Atoms (fractional coordinates):
Eu 0.3333 0.6667 0.2415  3 Ni 3.14, 9 Si 3.14-3.25
Si 0.6667 0.3333 0.5000  3 Si 2.33
Eu 0.3333 0.6667 0.7585  3 Ni 3.14, 9 Si 3.14-3.25
Si 0.0000 0.0000 0.5000  3 Si 2.33
Ni 0.6667 0.3333 0.0000  3 Si 2.33
Si 0.0000 0.0000 0.0000  3 Ni 2.33

=====

TaCdIN2 after structural relaxation. Source: Alexandria via LeMat-Bulk, functional PBE.

The energy above the most stable polymorph in this dataset is 0 meV/atom. The value obtained for the uncorrected formation energy is 1.71 eV/f.u. The space group is P4/mmm. As for the calculated volume: 19.88 A^3/atom.

a = 4.1083 Å, b = 4.1083 Å, c = 5.8883 Å
α = 90.00°, β = 90.00°, γ = 90.00°
Closest atoms and distances in Å follow each position.
Atoms (fractional coordinates):
Ta 0.0000 0.0000 0.0000  4 N 2.05
N 0.5000 0.0000 0.0000  2 Ta 2.05
N 0.0000 0.5000 0.0000  2 Ta 2.05
Cd 0.5000 0.5000 0.5000  4 I 2.91
I 0.0000 0.0000 0.5000  4 Cd 2.91, 2 Ta 2.94

=====

Nd4I5N after structural relaxation. Source: Alexandria via LeMat-Bulk, functional PBE.

The value obtained for the uncorrected formation energy is -13.08 eV/f.u. The space group is C2/m. As for the calculated volume: 33.79 A^3/atom.

a = 4.0554 Å, b = 8.8330 Å, c = 9.8811 Å
α = 102.45°, β = 101.84°, γ = 90.00°
Closest atoms and distances in Å follow each position.
Atoms (fractional coordinates):
I 0.5000 0.5000 0.0000  4 Nd 3.39
Nd 0.3704 0.9363 0.7408  1 N 2.45
Nd 0.0012 0.8082 0.0024  2 N 2.65
I 0.8363 0.6567 0.6726  3 Nd 3.15-3.18
N 0.5000 0.0000 0.0000  6 Nd 2.45-2.65
I 0.1692 0.8184 0.3384  3 Nd 3.18-3.23
Nd 0.9988 0.1918 0.9976  2 N 2.65
Nd 0.6296 0.0637 0.2592  1 N 2.45
I 0.1637 0.3433 0.3274  3 Nd 3.15-3.18
I 0.8308 0.1816 0.6616  3 Nd 3.18-3.23

=====

TaCo2Hg after structural relaxation. Source: Alexandria via LeMat-Bulk, functional PBE.

The space group is R3m. As for the calculated volume: 15.64 A^3/atom. Its energy relative to the elements is 1.66 eV/f.u.

a = 9.0010 Å, b = 9.0010 Å, c = 9.0010 Å
α = 18.26°, β = 18.26°, γ = 18.26°
Closest atoms and distances in Å follow each position.
Atoms (fractional coordinates):
Co 0.2599 0.2599 0.2599  3 Co 2.41
Ta 0.7405 0.7405 0.7405  3 Co 2.71, 6 Ta 2.86
Co 0.9928 0.9928 0.9928  3 Co 2.41
Hg 0.5069 0.5069 0.5069  3 Co 2.82, 6 Hg 2.86, 3 Ta 3.12

=====

ScGeF after structural relaxation. Source: Alexandria via LeMat-Bulk, functional PBE.

The energy above the most stable polymorph in this dataset is 0 meV/atom. The value obtained for the uncorrected formation energy is -5.76 eV/f.u. The space group is P2_1/m. As for the calculated volume: 15.32 A^3/atom.

a = 3.7000 Å, b = 3.7053 Å, c = 6.9535 Å
α = 90.00°, β = 105.39°, γ = 90.00°
Closest atoms and distances in Å follow each position.
Atoms (fractional coordinates):
F 0.2423 0.2500 0.9845  4 Sc 2.30-2.43
Ge 0.0607 0.7500 0.6192  2 Ge 2.45
Sc 0.3588 0.7500 0.2192  4 F 2.30-2.43
Ge 0.9393 0.2500 0.3808  2 Ge 2.45
Sc 0.6412 0.2500 0.7808  4 F 2.30-2.43
F 0.7577 0.7500 0.0155  4 Sc 2.30-2.43

=====

NiHg3H after structural relaxation. Source: Alexandria via LeMat-Bulk, functional PBE.

The energy above the most stable polymorph in this dataset is 91 meV/atom. The space group is Pm-3m. As for the calculated volume: 16.99 A^3/atom.

a = 4.3963 Å, b = 4.3963 Å, c = 4.3963 Å
α = 90.00°, β = 90.00°, γ = 90.00°
Closest atoms and distances in Å follow each position.
Atoms (fractional coordinates):
Hg 0.0000 0.0000 0.5000  2 H 2.20
Hg 0.0000 0.5000 0.0000  2 H 2.20
Ni 0.5000 0.5000 0.5000  12 Hg 3.11
H 0.0000 0.0000 0.0000  6 Hg 2.20
Hg 0.5000 0.0000 0.0000  2 H 2.20

=====

Rb3PuAs2O8 after structural relaxation. Source: Alexandria via LeMat-Bulk, functional PBE.

The value obtained for the uncorrected formation energy is -26.13 eV/f.u. The space group is P-3m1. As for the calculated volume: 18.80 A^3/atom.

a = 6.1007 Å, b = 6.1007 Å, c = 8.1669 Å
α = 90.00°, β = 90.00°, γ = 120.00°
Closest atoms and distances in Å follow each position.
Atoms (fractional coordinates):
Rb 0.3333 0.6667 0.7186  1 O 2.71
O 0.6424 0.8212 0.3329  1 As 1.75
As 0.6667 0.3333 0.7436  4 O 1.68-1.75
O 0.3333 0.6667 0.0503  1 As 1.68
As 0.3333 0.6667 0.2564  4 O 1.68-1.75
O 0.8212 0.6424 0.6671  1 As 1.75
O 0.8212 0.1788 0.6671  1 As 1.75
Rb 0.6667 0.3333 0.2814  1 O 2.71
O 0.1788 0.8212 0.3329  1 As 1.75
O 0.1788 0.3576 0.3329  1 As 1.75
O 0.3576 0.1788 0.6671  1 As 1.75
Rb 0.0000 0.0000 0.0000  12 O 3.31-3.55
O 0.6667 0.3333 0.9497  1 As 1.68
Pu 0.0000 0.0000 0.5000  6 O 2.33

=====

NaZnS2Cl after structural relaxation. Source: Alexandria via LeMat-Bulk, functional PBE.

The energy above the most stable polymorph in this dataset is 0 meV/atom. The value obtained for the uncorrected formation energy is -1.78 eV/f.u. The space group is P4/mmm. As for the calculated volume: 23.54 A^3/atom.

a = 4.5806 Å, b = 4.5806 Å, c = 5.6099 Å
α = 90.00°, β = 90.00°, γ = 90.00°
Closest atoms and distances in Å follow each position.
Atoms (fractional coordinates):
Na 0.5000 0.5000 0.5000  4 Cl 3.24, 8 S 3.62
S 0.5000 0.0000 0.0000  2 Zn 2.29
S 0.0000 0.5000 0.0000  2 Zn 2.29
Cl 0.0000 0.0000 0.5000  2 Zn 2.80
Zn 0.0000 0.0000 0.0000  4 S 2.29

=====

no.,calculated density (kg/m3),E (eV per atom)
1,6021,-7.617
2,7490,-5.852
3,6022,-4.822
4,13258,-6.177
5,4936,-6.192
6,12927,-1.369
7,4909,-6.595
8,2652,-2.895